# 1
The following is a DFT calculation (GGA-PBE) of a geometry-optimized K2Sr2S structure.

Lattice parameters (Å, degrees): 8.088 8.088 8.114 90.00 90.00 90.00
Space group P4/mbm (No. 127)
Asymmetric unit:
K 0.173 0.327 0.000 x4
Sr 0.194 0.694 0.500 x4
S 0.000 0.000 0.500 x2

Properties
For the formation energy without anion corrections, the calculation gives -2.8 eV/f.u. The value obtained for the volume is 530.9 Å³/cell. The crystal system is tetragonal.

---

# 2
The following is a DFT calculation (GGA-PBE) of a geometry-optimized SrHfTl2F8 structure.

Lattice parameters (Å, degrees): 3.856 8.027 6.727 90.00 90.08 90.00
Space group P2/m (No. 10)
Asymmetric unit:
Sr 0.000 0.000 0.000 x1
Hf 0.000 0.500 0.000 x1
Tl 0.500 0.250 0.500 x2
F 0.002 0.296 0.814 x4
F 0.499 0.500 0.169 x2
F 0.500 0.000 0.228 x2

Properties
For the formation energy without anion corrections, the calculation gives -37.7 eV/f.u. The value obtained for the volume is 208.2 Å³/cell. The crystal system is monoclinic.

---

# 3
The following is a DFT calculation (GGA-PBE) of a geometry-optimized Ce3Mg2ZnIn3 structure.

Lattice parameters (Å, degrees): 9.0150 9.0150 3.2047 90.00 90.00 120.00
Space group P-62m (No. 189)
Asymmetric unit:
Ce 0.0000 0.7204 0.0000 x3
Mg 0.3333 0.6667 0.0000 x2
Zn 0.0000 0.0000 0.5000 x1
In 0.0000 0.3802 0.5000 x3

Properties
The calculation puts the formation energy at -0.172 eV per atom. The value obtained for the volume is 225.6 Å³/cell. The crystal system is hexagonal.

---

# 4
The following is a DFT calculation (GGA-PBE) of a geometry-optimized Ga2CoSnI structure.

Lattice parameters (Å, degrees): 4.791 4.791 4.987 90.00 90.00 90.00
Space group P4/mmm (No. 123)
Asymmetric unit:
Ga 0.000 0.500 0.000 x2
Co 0.000 0.000 0.000 x1
Sn 0.000 0.000 0.500 x1
I 0.500 0.500 0.500 x1

Properties
For the formation energy without anion corrections, the calculation gives -0.8 eV/f.u. The value obtained for the volume is 114.5 Å³/cell. The crystal system is tetragonal.

---

# 5
The following is a DFT calculation (GGA-PBE) of a geometry-optimized Ce5C2Cl5 structure.

Lattice parameters (Å, degrees): 13.547 3.817 11.319 90.00 107.68 90.00
Space group C2/m (No. 12)
Asymmetric unit:
Ce 0.000 0.000 0.000 x2
Ce 0.107 0.000 0.382 x4
Ce 0.135 0.500 0.793 x4
C 0.032 0.000 0.796 x4
Cl 0.000 0.500 0.500 x2
Cl 0.169 0.500 0.057 x4
Cl 0.239 0.000 0.650 x4

Properties
For the formation energy without anion corrections, the calculation gives -14.8 eV/f.u. The value obtained for the volume is 557.6 Å³/cell. The crystal system is monoclinic.

---

# 6
The following is a DFT calculation (GGA-PBE) of a geometry-optimized Na3Ca8 structure.

Lattice parameters (Å, degrees): 14.288 4.005 16.196 90.00 106.66 90.00
Space group C2/m (No. 12)
Asymmetric unit:
Na 0.000 0.000 0.000 x2
Na 0.043 0.500 0.846 x4
Ca 0.089 0.000 0.668 x4
Ca 0.130 0.500 0.478 x4
Ca 0.171 0.000 0.286 x4
Ca 0.227 0.500 0.097 x4

Properties
The calculation puts the formation energy at 0.034 eV per atom. The value obtained for the volume is 887.9 Å³/cell. The crystal system is monoclinic.